(1)
Here is a crystal of TlMoAu2 relaxed with PBEsol from the Alexandria database. Energies are from SCAN.

Cell and atoms, written as POSCAR:
```
TlMoAu2
1.0
-1.460 2.539 4.886
1.460 -2.539 4.886
1.460 2.539 -4.886
Tl Mo Au
1 1 2
Direct
0.000 0.000 0.000 Tl
0.255 0.755 0.500 Mo
0.494 0.494 0.000 Au
0.744 0.244 0.500 Au
```

Output
Energy relative to the elements in eV/atom: 0.435
Fermi-level density of states in states/eV/f.u.: 2.1
Total DFT energy (no corrections) in eV per atom: -60.954

(2)
Here is a crystal of TlMoAu2 relaxed with PBEsol from the Alexandria database. Energies are from SCAN.

Cell and atoms, written as POSCAR:
```
TlMoAu2
1.0
4.572 -1.476 0.000
4.572 1.476 0.000
-0.897 0.000 5.332
Tl Mo Au
1 1 2
Direct
0.000 0.000 0.000 Tl
0.750 0.750 0.276 Mo
0.246 0.246 0.733 Au
0.494 0.494 0.485 Au
```

Output
Energy relative to the elements in eV/atom: 0.426
Fermi-level density of states in states/eV/f.u.: 2.4
Total DFT energy (no corrections) in eV per atom: -60.963

(3)
Here is a crystal of MoW2Au relaxed with PBEsol from the Alexandria database. Energies are from SCAN.

Cell and atoms, written as POSCAR:
```
MoW2Au
1.0
2.672 0.000 0.000
0.000 2.672 0.000
0.000 0.000 8.909
Mo W Au
1 2 1
Direct
0.000 0.000 0.000 Mo
0.500 0.500 0.251 W
0.500 0.500 0.749 W
0.000 0.000 0.500 Au
```

Output
Energy relative to the elements in eV/atom: 0.388
Fermi-level density of states in states/eV/f.u.: 2.4
Total DFT energy (no corrections) in eV per atom: -60.467